The following is a PBE-GGA calculation of Ca2TiCuO5 after structural relaxation, from Alexandria via LeMat-Bulk.

a b c (Å): 7.0916 7.0916 10.0194
angles (deg): 90.00 90.00 154.87
Fractional coordinates of all 18 atoms:
Ca: 0.1064 0.8936 0.5000
Ca: 0.1279 0.8721 0.1077
Ca: 0.8721 0.1279 0.6077
Ca: 0.8936 0.1064 0.0000
Ti: 0.2214 0.7786 0.8244
Ti: 0.7786 0.2214 0.3244
Cu: 0.4639 0.5361 0.2742
Cu: 0.5361 0.4639 0.7742
O: 0.0698 0.9302 0.8725
O: 0.2789 0.7211 0.4598
O: 0.2942 0.7058 0.1971
O: 0.3548 0.6452 0.8186
O: 0.4994 0.5006 0.5945
O: 0.5006 0.4994 0.0945
O: 0.6452 0.3548 0.3186
O: 0.7058 0.2942 0.6971
O: 0.7211 0.2789 0.9598
O: 0.9302 0.0698 0.3725

**SG**: Cmc2_1, No. 36
**Uncorrected formation energy**: -2.41 eV/atom
**E_tot**: -6.937 eV/atom

---

The following is a PBE-GGA calculation of CaTiCuO2 after structural relaxation, from Alexandria via LeMat-Bulk.

a b c (Å): 4.2007 4.2007 4.3459
angles (deg): 90.00 90.00 90.00
Fractional coordinates of all 5 atoms:
Ca: 0.0000 0.0000 0.0000
Ti: 0.5000 0.5000 0.0000
Cu: 0.5000 0.5000 0.5000
O: 0.0000 0.5000 0.5000
O: 0.5000 0.0000 0.5000

**SG**: P4/mmm, No. 123
**Uncorrected formation energy**: -0.02 eV/atom
**E_tot**: -4.800 eV/atom

---

The following is a PBE-GGA calculation of Ca2TlCuO5 after structural relaxation, from Alexandria via LeMat-Bulk.

a b c (Å): 6.3215 6.3215 11.8805
angles (deg): 90.00 90.00 147.54
Fractional coordinates of all 18 atoms:
Ca: 0.0487 0.9513 0.5000
Ca: 0.1901 0.8099 0.1275
Ca: 0.8099 0.1901 0.6275
Ca: 0.9513 0.0487 0.0000
Tl: 0.4345 0.5655 0.2555
Tl: 0.5655 0.4345 0.7555
Cu: 0.2622 0.7378 0.8583
Cu: 0.7378 0.2622 0.3583
O: 0.1091 0.8909 0.8751
O: 0.1858 0.8142 0.6294
O: 0.2428 0.7572 0.3157
O: 0.4103 0.5897 0.8827
O: 0.4522 0.5478 0.6127
O: 0.5478 0.4522 0.1127
O: 0.5897 0.4103 0.3827
O: 0.7572 0.2428 0.8157
O: 0.8142 0.1858 0.1294
O: 0.8909 0.1091 0.3751

**SG**: Cmc2_1, No. 36
**Uncorrected formation energy**: -1.56 eV/atom
**E_tot**: -5.479 eV/atom

---

The following is a PBE-GGA calculation of CaTl2CuO4 after structural relaxation, from Alexandria via LeMat-Bulk.

a b c (Å): 6.3152 6.3152 11.1893
angles (deg): 90.00 90.00 148.35
Fractional coordinates of all 16 atoms:
Ca: 0.0911 0.9089 0.7500
Ca: 0.9089 0.0911 0.2500
Tl: 0.3728 0.6272 0.5521
Tl: 0.3728 0.6272 0.9479
Tl: 0.6272 0.3728 0.0521
Tl: 0.6272 0.3728 0.4479
Cu: 0.1873 0.8127 0.2500
Cu: 0.8127 0.1873 0.7500
O: 0.0000 0.0000 0.0000
O: 0.0000 0.0000 0.5000
O: 0.3080 0.6920 0.1334
O: 0.3080 0.6920 0.3666
O: 0.4410 0.5590 0.7500
O: 0.5590 0.4410 0.2500
O: 0.6920 0.3080 0.6334
O: 0.6920 0.3080 0.8666

**SG**: Cmcm, No. 63
**Uncorrected formation energy**: -1.02 eV/atom
**E_tot**: -4.854 eV/atom

---

The following is a PBE-GGA calculation of CaTlCuO2 after structural relaxation, from Alexandria via LeMat-Bulk.

a b c (Å): 6.8236 6.8236 5.5142
angles (deg): 90.00 90.00 120.86
Fractional coordinates of all 10 atoms:
Ca: 0.2500 0.2500 0.0000
Ca: 0.7500 0.7500 0.0000
Tl: 0.2500 0.7500 0.5243
Tl: 0.7500 0.2500 0.4757
Cu: 0.0000 0.0000 0.5000
Cu: 0.5000 0.5000 0.5000
O: 0.0827 0.9173 0.7830
O: 0.4173 0.5827 0.7830
O: 0.5827 0.4173 0.2170
O: 0.9173 0.0827 0.2170

**SG**: Cmme, No. 67
**Uncorrected formation energy**: -1.38 eV/atom
**E_tot**: -5.055 eV/atom

---

The following is a PBE-GGA calculation of Ca2TmCuO4 after structural relaxation, from Alexandria via LeMat-Bulk.

a b c (Å): 5.7424 3.3630 5.8071
angles (deg): 90.00 110.05 90.00
Fractional coordinates of all 8 atoms:
Ca: 0.0000 0.0000 0.0000
Ca: 0.5000 0.5000 0.0000
Tm: 0.0000 0.5000 0.5000
Cu: 0.5000 0.0000 0.5000
O: 0.2273 0.0000 0.7431
O: 0.2366 0.5000 0.2547
O: 0.7634 0.5000 0.7453
O: 0.7727 0.0000 0.2569

**SG**: P2/m, No. 10
**Uncorrected formation energy**: -2.51 eV/atom
**E_tot**: -6.560 eV/atom